# 1
This record from the Alexandria database describes a relaxed structure of TbErLu. The functional is PBE.

VASP energy in eV per cell: -13.63
Spin magnetization in μB/f.u.: 0.00
SG: I4mm

Cell lengths 7.856, 7.856, 7.856 Å; angles 154.29, 154.29, 36.68 degrees
Fractional coordinates of all 3 atoms:
Tb 0.000 0.000 0.000
Er 0.332 0.332 0.000
Lu 0.667 0.667 0.000

# 2
This record from the Alexandria database describes a relaxed structure of Pm6NdTm8. The functional is PBE.

VASP energy in eV per cell: -67.10
Spin magnetization in μB/f.u.: 0.00
SG: R-3

Cell lengths 8.671, 8.671, 8.671 Å; angles 62.72, 62.72, 62.72 degrees
Fractional coordinates of all 15 atoms:
Pm 0.037 0.727 0.604
Pm 0.273 0.396 0.963
Pm 0.396 0.963 0.273
Pm 0.604 0.037 0.727
Pm 0.727 0.604 0.037
Pm 0.963 0.273 0.396
Nd 0.500 0.500 0.500
Tm 0.076 0.076 0.076
Tm 0.216 0.248 0.612
Tm 0.248 0.612 0.216
Tm 0.388 0.784 0.752
Tm 0.612 0.216 0.248
Tm 0.752 0.388 0.784
Tm 0.784 0.752 0.388
Tm 0.924 0.924 0.924

# 3
This record from the Alexandria database describes a relaxed structure of Al2ReAs. The functional is PBE.

VASP energy in eV per cell: -23.46
Spin magnetization in μB/f.u.: 0.00
SG: F-43m

Cell lengths 4.425, 4.425, 4.425 Å; angles 60.00, 60.00, 60.00 degrees
Fractional coordinates of all 4 atoms:
Al 0.000 0.000 0.000
Al 0.250 0.250 0.250
Re 0.750 0.750 0.750
As 0.500 0.500 0.500

# 4
This record from the Alexandria database describes a relaxed structure of BeMoPt. The functional is PBE.

VASP energy in eV per cell: -43.15
Spin magnetization in μB/f.u.: 0.00
SG: Cm

Cell lengths 4.677, 4.677, 5.765 Å; angles 126.96, 126.96, 58.30 degrees
Fractional coordinates of all 6 atoms:
Be 0.247 0.753 0.000
Be 0.753 0.247 0.000
Mo 0.163 0.163 0.513
Mo 0.657 0.657 0.810
Pt 0.337 0.337 0.186
Pt 0.825 0.825 0.477

# 5
This record from the Alexandria database describes a relaxed structure of HoU2Tl2Se6. The functional is PBE.

Formation energy from raw total energies in meV/atom: -1149
Spin magnetization in μB/f.u.: 5.00
SG: C2/m

Cell lengths 7.185, 7.185, 8.208 Å; angles 98.33, 98.33, 120.02 degrees
Fractional coordinates of all 11 atoms:
Ho 0.000 0.000 0.000
U 0.334 0.666 0.000
U 0.666 0.334 0.000
Tl 0.166 0.834 0.500
Tl 0.834 0.166 0.500
Se 0.066 0.401 0.202
Se 0.266 0.266 0.798
Se 0.401 0.066 0.202
Se 0.599 0.934 0.798
Se 0.734 0.734 0.202
Se 0.934 0.599 0.798

# 6
This record from the Alexandria database describes a relaxed structure of Al2Pd4Au. The functional is PBE.

VASP energy in eV per cell: -70.01
Spin magnetization in μB/f.u.: 0.00
SG: I-42d

Cell lengths 6.656, 6.656, 6.656 Å; angles 109.10, 109.10, 110.21 degrees
Fractional coordinates of all 14 atoms:
Al 0.033 0.125 0.408
Al 0.375 0.967 0.092
Al 0.717 0.625 0.592
Al 0.875 0.283 0.908
Pd 0.085 0.501 0.737
Pd 0.098 0.014 0.763
Pd 0.251 0.335 0.237
Pd 0.499 0.236 0.584
Pd 0.652 0.915 0.416
Pd 0.665 0.902 0.916
Pd 0.764 0.348 0.263
Pd 0.986 0.749 0.084
Au 0.250 0.750 0.500
Au 0.500 0.500 0.000

# 7
This record from the Alexandria database describes a relaxed structure of BeReHg2. The functional is PBE.

VASP energy in eV per cell: -13.73
Spin magnetization in μB/f.u.: 0.00
SG: R-3m

Cell lengths 8.994, 8.994, 8.994 Å; angles 18.85, 18.85, 18.85 degrees
Fractional coordinates of all 4 atoms:
Be 0.000 0.000 0.000
Re 0.500 0.500 0.500
Hg 0.259 0.259 0.259
Hg 0.741 0.741 0.741

# 8
This record from the Alexandria database describes a relaxed structure of CeNdDy5Tm2. The functional is PBE.

VASP energy in eV per cell: -82.12
Spin magnetization in μB/f.u.: 0.81
SG: Cmc2_1

Cell lengths 11.075, 11.075, 9.574 Å; angles 90.00, 90.00, 150.28 degrees
Fractional coordinates of all 18 atoms:
Ce 0.195 0.805 0.500
Ce 0.805 0.195 0.000
Nd 0.403 0.597 0.899
Nd 0.597 0.403 0.399
Dy 0.013 0.987 0.492
Dy 0.267 0.733 0.809
Dy 0.306 0.694 0.192
Dy 0.394 0.606 0.516
Dy 0.471 0.529 0.222
Dy 0.529 0.471 0.722
Dy 0.606 0.394 0.016
Dy 0.694 0.306 0.692
Dy 0.733 0.267 0.309
Dy 0.987 0.013 0.992
Tm 0.113 0.887 0.799
Tm 0.137 0.863 0.181
Tm 0.863 0.137 0.681
Tm 0.887 0.113 0.299

- The highest spin magnetization belongs to which entry?
  HoU2Tl2Se6